# GGA-PBE LiHoGa2Cu4, relaxed
data_LiHoGa2Cu4
_space_group_name_H-M_alt 'R -3 m'
_space_group_IT_number 166
_space_group_name_Hall '-R 3 2"'
_cell_length_a 4.2225
_cell_length_b 4.2225
_cell_length_c 23.4891
_cell_angle_alpha 90.00
_cell_angle_beta 90.00
_cell_angle_gamma 120.00
loop_
_atom_site_label
_atom_site_type_symbol
_atom_site_fract_x
_atom_site_fract_y
_atom_site_fract_z
_atom_site_occupancy
Li1 Li 0.0000 0.0000 0.0000 1
Ho1 Ho 0.0000 0.0000 0.5000 1
Ga1 Ga 0.0000 0.0000 0.2572 1
Cu1 Cu 0.0000 0.0000 0.1001 1
Cu2 Cu 0.0000 0.0000 0.3705 1
# total energy = -3.88 eV/atom
# formation enthalpy at 0 K = -259.5 meV per atom
# N(E_F) = 9.4 states/eV per cell

=====

# GGA-PBE LiHoGa2Cu, relaxed
data_LiHoGa2Cu
_space_group_name_H-M_alt 'I -4 m 2'
_space_group_IT_number 119
_space_group_name_Hall 'I -4 -2'
_cell_length_a 4.133
_cell_length_b 4.133
_cell_length_c 10.386
_cell_angle_alpha 90.00
_cell_angle_beta 90.00
_cell_angle_gamma 90.00
loop_
_atom_site_label
_atom_site_type_symbol
_atom_site_fract_x
_atom_site_fract_y
_atom_site_fract_z
_atom_site_occupancy
Li1 Li 0.000 0.000 0.000 1
Ho1 Ho 0.000 0.500 0.750 1
Ga1 Ga 0.000 0.500 0.131 1
Cu1 Cu 0.000 0.000 0.500 1
# total energy = -3.71 eV/atom
# formation enthalpy at 0 K = -378.1 meV per atom
# N(E_F) = 6.3 states/eV per cell

=====

# GGA-PBE LiHo2Ga3Cu12, relaxed
data_LiHo2Ga3Cu12
_space_group_name_H-M_alt 'R -3 m'
_space_group_IT_number 166
_space_group_name_Hall '-R 3 2"'
_cell_length_a 5.3799
_cell_length_b 5.3799
_cell_length_c 33.9684
_cell_angle_alpha 90.00
_cell_angle_beta 90.00
_cell_angle_gamma 120.00
loop_
_atom_site_label
_atom_site_type_symbol
_atom_site_fract_x
_atom_site_fract_y
_atom_site_fract_z
_atom_site_occupancy
Li1 Li 0.0000 0.0000 0.0000 1
Ho1 Ho 0.0000 0.0000 0.3577 1
Ga1 Ga 0.0000 0.5000 0.5000 1
Cu1 Cu 0.0016 0.5008 0.6115 1
Cu2 Cu 0.0247 0.5123 0.1099 1
# total energy = -3.77 eV/atom
# formation enthalpy at 0 K = 84.2 meV per atom
# N(E_F) = 32.8 states/eV per cell

=====

# GGA-PBE LiHoGa4Cu2, relaxed
data_LiHoGa4Cu2
_space_group_name_H-M_alt 'R -3 m'
_space_group_IT_number 166
_space_group_name_Hall '-R 3 2"'
_cell_length_a 4.2051
_cell_length_b 4.2051
_cell_length_c 25.7124
_cell_angle_alpha 90.00
_cell_angle_beta 90.00
_cell_angle_gamma 120.00
loop_
_atom_site_label
_atom_site_type_symbol
_atom_site_fract_x
_atom_site_fract_y
_atom_site_fract_z
_atom_site_occupancy
Li1 Li 0.0000 0.0000 0.0000 1
Ho1 Ho 0.0000 0.0000 0.5000 1
Ga1 Ga 0.0000 0.0000 0.1013 1
Ga2 Ga 0.0000 0.0000 0.3745 1
Cu1 Cu 0.0000 0.0000 0.2679 1
# total energy = -3.67 eV/atom
# formation enthalpy at 0 K = -324.1 meV per atom
# N(E_F) = 5.7 states/eV per cell

=====

# GGA-PBE HoMgGa2Cu5, relaxed
data_HoMgGa2Cu5
_space_group_name_H-M_alt 'P 4/m m m'
_space_group_IT_number 123
_space_group_name_Hall '-P 4 2'
_cell_length_a 4.460
_cell_length_b 4.460
_cell_length_c 7.535
_cell_angle_alpha 90.00
_cell_angle_beta 90.00
_cell_angle_gamma 90.00
loop_
_atom_site_label
_atom_site_type_symbol
_atom_site_fract_x
_atom_site_fract_y
_atom_site_fract_z
_atom_site_occupancy
Ho1 Ho 0.000 0.000 0.000 1
Mg1 Mg 0.000 0.000 0.500 1
Ga1 Ga 0.500 0.500 0.338 1
Cu1 Cu 0.000 0.500 0.219 1
Cu2 Cu 0.500 0.500 0.000 1
# total energy = -3.69 eV/atom
# formation enthalpy at 0 K = -57.2 meV per atom
# N(E_F) = 2.6 states/eV per cell

=====

# GGA-PBE HoMgGaCu, relaxed
data_HoMgGaCu
_space_group_name_H-M_alt 'F -4 3 m'
_space_group_IT_number 216
_space_group_name_Hall 'F -4 2 3'
_cell_length_a 6.735
_cell_length_b 6.735
_cell_length_c 6.735
_cell_angle_alpha 90.00
_cell_angle_beta 90.00
_cell_angle_gamma 90.00
loop_
_atom_site_label
_atom_site_type_symbol
_atom_site_fract_x
_atom_site_fract_y
_atom_site_fract_z
_atom_site_occupancy
Ho1 Ho 0.000 0.000 0.000 1
Mg1 Mg 0.000 0.000 0.500 1
Ga1 Ga 0.250 0.250 0.750 1
Cu1 Cu 0.250 0.250 0.250 1
# total energy = -3.69 eV/atom
# formation enthalpy at 0 K = -365.8 meV per atom
# N(E_F) = 8.9 states/eV per cell

=====

# GGA-PBE Ho2MgGa4Cu3, relaxed
data_Ho2MgGa4Cu3
_space_group_name_H-M_alt 'P -4 m 2'
_space_group_IT_number 115
_space_group_name_Hall 'P -4 -2'
_cell_length_a 4.051
_cell_length_b 4.051
_cell_length_c 10.996
_cell_angle_alpha 90.00
_cell_angle_beta 90.00
_cell_angle_gamma 90.00
loop_
_atom_site_label
_atom_site_type_symbol
_atom_site_fract_x
_atom_site_fract_y
_atom_site_fract_z
_atom_site_occupancy
Ho1 Ho 0.000 0.500 0.231 1
Mg1 Mg 0.000 0.000 0.500 1
Ga1 Ga 0.000 0.000 0.000 1
Ga2 Ga 0.000 0.500 0.655 1
Ga3 Ga 0.500 0.500 0.000 1
Cu1 Cu 0.000 0.500 0.871 1
Cu2 Cu 0.500 0.500 0.500 1
# total energy = -3.92 eV/atom
# formation enthalpy at 0 K = -406.2 meV per atom
# N(E_F) = 5.1 states/eV per cell

=====

# GGA-PBE HoMg2Ga2Cu, relaxed
data_HoMg2Ga2Cu
_space_group_name_H-M_alt 'I 4/m m m'
_space_group_IT_number 139
_space_group_name_Hall '-I 4 2'
_cell_length_a 5.202
_cell_length_b 5.202
_cell_length_c 10.514
_cell_angle_alpha 90.00
_cell_angle_beta 90.00
_cell_angle_gamma 90.00
loop_
_atom_site_label
_atom_site_type_symbol
_atom_site_fract_x
_atom_site_fract_y
_atom_site_fract_z
_atom_site_occupancy
Ho1 Ho 0.000 0.000 0.000 1
Mg1 Mg 0.000 0.500 0.250 1
Ga1 Ga 0.000 0.000 0.281 1
Cu1 Cu 0.000 0.000 0.500 1
# total energy = -2.82 eV/atom
# formation enthalpy at 0 K = 169.8 meV per atom
# N(E_F) = 8.5 states/eV per cell

=====

# GGA-PBE Ho2MgGa3Cu4, relaxed
data_Ho2MgGa3Cu4
_space_group_name_H-M_alt 'P -4 m 2'
_space_group_IT_number 115
_space_group_name_Hall 'P -4 -2'
_cell_length_a 4.065
_cell_length_b 4.065
_cell_length_c 10.688
_cell_angle_alpha 90.00
_cell_angle_beta 90.00
_cell_angle_gamma 90.00
loop_
_atom_site_label
_atom_site_type_symbol
_atom_site_fract_x
_atom_site_fract_y
_atom_site_fract_z
_atom_site_occupancy
Ho1 Ho 0.000 0.500 0.234 1
Mg1 Mg 0.000 0.000 0.500 1
Ga1 Ga 0.000 0.500 0.873 1
Ga2 Ga 0.500 0.500 0.500 1
Cu1 Cu 0.000 0.000 0.000 1
Cu2 Cu 0.000 0.500 0.649 1
Cu3 Cu 0.500 0.500 0.000 1
# total energy = -3.99 eV/atom
# formation enthalpy at 0 K = -367.3 meV per atom
# N(E_F) = 4.3 states/eV per cell

=====

# GGA-PBE Ho2MnGa3Cu12, relaxed
data_Ho2MnGa3Cu12
_space_group_name_H-M_alt 'R -3 m'
_space_group_IT_number 166
_space_group_name_Hall '-R 3 2"'
_cell_length_a 5.4301
_cell_length_b 5.4301
_cell_length_c 33.5407
_cell_angle_alpha 90.00
_cell_angle_beta 90.00
_cell_angle_gamma 120.00
loop_
_atom_site_label
_atom_site_type_symbol
_atom_site_fract_x
_atom_site_fract_y
_atom_site_fract_z
_atom_site_occupancy
Ho1 Ho 0.0000 0.0000 0.1427 1
Mn1 Mn 0.0000 0.0000 0.5000 1
Ga1 Ga 0.0000 0.5000 0.0000 1
Cu1 Cu 0.0034 0.5017 0.8893 1
Cu2 Cu 0.0282 0.5141 0.6106 1
# total energy = -4.17 eV/atom
# formation enthalpy at 0 K = 86.9 meV per atom
# N(E_F) = 25.3 states/eV per cell

=====

# GGA-PBE NdHoGaCu, relaxed
data_NdHoGaCu
_space_group_name_H-M_alt 'F -4 3 m'
_space_group_IT_number 216
_space_group_name_Hall 'F -4 2 3'
_cell_length_a 7.183
_cell_length_b 7.183
_cell_length_c 7.183
_cell_angle_alpha 90.00
_cell_angle_beta 90.00
_cell_angle_gamma 90.00
loop_
_atom_site_label
_atom_site_type_symbol
_atom_site_fract_x
_atom_site_fract_y
_atom_site_fract_z
_atom_site_occupancy
Nd1 Nd 0.000 0.000 0.000 1
Ho1 Ho 0.000 0.000 0.500 1
Ga1 Ga 0.250 0.250 0.750 1
Cu1 Cu 0.250 0.250 0.250 1
# total energy = -4.49 eV/atom
# formation enthalpy at 0 K = -371.0 meV per atom
# N(E_F) = 14.7 states/eV per cell

=====

# GGA-PBE NdHo2Ga2Cu2, relaxed
data_NdHo2Ga2Cu2
_space_group_name_H-M_alt 'R -3 m'
_space_group_IT_number 166
_space_group_name_Hall '-R 3 2"'
_cell_length_a 4.4220
_cell_length_b 4.4220
_cell_length_c 27.4305
_cell_angle_alpha 90.00
_cell_angle_beta 90.00
_cell_angle_gamma 120.00
loop_
_atom_site_label
_atom_site_type_symbol
_atom_site_fract_x
_atom_site_fract_y
_atom_site_fract_z
_atom_site_occupancy
Nd1 Nd 0.0000 0.0000 0.0000 1
Ho1 Ho 0.0000 0.0000 0.1254 1
Ga1 Ga 0.0000 0.0000 0.2590 1
Cu1 Cu 0.0000 0.0000 0.4048 1
# total energy = -4.41 eV/atom
# formation enthalpy at 0 K = -387.4 meV per atom
# N(E_F) = 14.5 states/eV per cell

=====

# GGA-PBE HoGa3CuNi, relaxed
data_HoGa3CuNi
_space_group_name_H-M_alt 'C m c m'
_space_group_IT_number 63
_space_group_name_Hall '-C 2c 2'
_cell_length_a 6.206
_cell_length_b 11.796
_cell_length_c 5.697
_cell_angle_alpha 90.00
_cell_angle_beta 90.00
_cell_angle_gamma 90.00
loop_
_atom_site_label
_atom_site_type_symbol
_atom_site_fract_x
_atom_site_fract_y
_atom_site_fract_z
_atom_site_occupancy
Ho1 Ho 0.000 0.215 0.250 1
Ga1 Ga 0.000 0.340 0.750 1
Ga2 Ga 0.204 0.000 0.000 1
Cu1 Cu 0.000 0.444 0.250 1
Ni1 Ni 0.000 0.138 0.750 1
# total energy = -4.16 eV/atom
# formation enthalpy at 0 K = -232.7 meV per atom
# N(E_F) = 10.4 states/eV per cell

=====

# GGA-PBE Ho2GaCu2Ni5, relaxed
data_Ho2GaCu2Ni5
_space_group_name_H-M_alt 'P 4/m b m'
_space_group_IT_number 127
_space_group_name_Hall '-P 4 2ab'
_cell_length_a 8.941
_cell_length_b 8.941
_cell_length_c 3.632
_cell_angle_alpha 90.00
_cell_angle_beta 90.00
_cell_angle_gamma 90.00
loop_
_atom_site_label
_atom_site_type_symbol
_atom_site_fract_x
_atom_site_fract_y
_atom_site_fract_z
_atom_site_occupancy
Ho1 Ho 0.178 0.322 0.000 1
Ga1 Ga 0.000 0.000 0.000 1
Cu1 Cu 0.120 0.620 0.000 1
Ni1 Ni 0.000 0.500 0.500 1
Ni2 Ni 0.061 0.797 0.500 1
# total energy = -5.25 eV/atom
# formation enthalpy at 0 K = -323.2 meV per atom
# N(E_F) = 7.4 states/eV per cell

=====

# GGA-PBE HoGaCu2Ni, relaxed
data_HoGaCu2Ni
_space_group_name_H-M_alt 'I m m 2'
_space_group_IT_number 44
_space_group_name_Hall 'I 2 -2'
_cell_length_a 3.671
_cell_length_b 3.974
_cell_length_c 11.026
_cell_angle_alpha 90.00
_cell_angle_beta 90.00
_cell_angle_gamma 90.00
loop_
_atom_site_label
_atom_site_type_symbol
_atom_site_fract_x
_atom_site_fract_y
_atom_site_fract_z
_atom_site_occupancy
Ho1 Ho 0.000 0.000 0.000 1
Ga1 Ga 0.000 0.500 0.755 1
Cu1 Cu 0.000 0.000 0.615 1
Cu2 Cu 0.000 0.500 0.266 1
Ni1 Ni 0.000 0.000 0.400 1
# total energy = -4.65 eV/atom
# formation enthalpy at 0 K = -330.5 meV per atom
# N(E_F) = 6.2 states/eV per cell

=====

# GGA-PBE HoGa4CuNi2, relaxed
data_HoGa4CuNi2
_space_group_name_H-M_alt 'R -3 m'
_space_group_IT_number 166
_space_group_name_Hall '-R 3 2"'
_cell_length_a 4.1108
_cell_length_b 4.1108
_cell_length_c 25.5758
_cell_angle_alpha 90.00
_cell_angle_beta 90.00
_cell_angle_gamma 120.00
loop_
_atom_site_label
_atom_site_type_symbol
_atom_site_fract_x
_atom_site_fract_y
_atom_site_fract_z
_atom_site_occupancy
Ho1 Ho 0.0000 0.0000 0.0000 1
Ga1 Ga 0.0000 0.0000 0.1287 1
Ga2 Ga 0.0000 0.0000 0.4007 1
Cu1 Cu 0.0000 0.0000 0.5000 1
Ni1 Ni 0.0000 0.0000 0.2353 1
# total energy = -4.43 eV/atom
# formation enthalpy at 0 K = -390.1 meV per atom
# N(E_F) = 10.4 states/eV per cell

=====

# GGA-PBE Ho2Ga3CuNi4, relaxed
data_Ho2Ga3CuNi4
_space_group_name_H-M_alt 'P -4 m 2'
_space_group_IT_number 115
_space_group_name_Hall 'P -4 -2'
_cell_length_a 3.812
_cell_length_b 3.812
_cell_length_c 10.930
_cell_angle_alpha 90.00
_cell_angle_beta 90.00
_cell_angle_gamma 90.00
loop_
_atom_site_label
_atom_site_type_symbol
_atom_site_fract_x
_atom_site_fract_y
_atom_site_fract_z
_atom_site_occupancy
Ho1 Ho 0.000 0.500 0.237 1
Ga1 Ga 0.000 0.000 0.000 1
Ga2 Ga 0.000 0.500 0.633 1
Cu1 Cu 0.500 0.500 0.000 1
Ni1 Ni 0.000 0.000 0.500 1
Ni2 Ni 0.000 0.500 0.853 1
Ni3 Ni 0.500 0.500 0.500 1
# total energy = -5.04 eV/atom
# formation enthalpy at 0 K = -490.8 meV per atom
# N(E_F) = 6.0 states/eV per cell

=====

# GGA-PBE Ho2Ga4Cu3Ni, relaxed
data_Ho2Ga4Cu3Ni
_space_group_name_H-M_alt 'P -4 m 2'
_space_group_IT_number 115
_space_group_name_Hall 'P -4 -2'
_cell_length_a 4.087
_cell_length_b 4.087
_cell_length_c 10.125
_cell_angle_alpha 90.00
_cell_angle_beta 90.00
_cell_angle_gamma 90.00
loop_
_atom_site_label
_atom_site_type_symbol
_atom_site_fract_x
_atom_site_fract_y
_atom_site_fract_z
_atom_site_occupancy
Ho1 Ho 0.000 0.500 0.244 1
Ga1 Ga 0.000 0.000 0.500 1
Ga2 Ga 0.000 0.500 0.874 1
Ga3 Ga 0.500 0.500 0.500 1
Cu1 Cu 0.000 0.000 0.000 1
Cu2 Cu 0.000 0.500 0.638 1
Ni1 Ni 0.500 0.500 0.000 1
# total energy = -4.39 eV/atom
# formation enthalpy at 0 K = -456.6 meV per atom
# N(E_F) = 5.4 states/eV per cell

=====

# GGA-PBE Ho2GaCu12Ni3, relaxed
data_Ho2GaCu12Ni3
_space_group_name_H-M_alt 'R -3 m'
_space_group_IT_number 166
_space_group_name_Hall '-R 3 2"'
_cell_length_a 8.4295
_cell_length_b 8.4295
_cell_length_c 12.2816
_cell_angle_alpha 90.00
_cell_angle_beta 90.00
_cell_angle_gamma 120.00
loop_
_atom_site_label
_atom_site_type_symbol
_atom_site_fract_x
_atom_site_fract_y
_atom_site_fract_z
_atom_site_occupancy
Ho1 Ho 0.0000 0.0000 0.2452 1
Ga1 Ga 0.0000 0.0000 0.5000 1
Cu1 Cu 0.0143 0.5072 0.2070 1
Cu2 Cu 0.0487 0.5243 0.6002 1
Ni1 Ni 0.0000 0.5000 0.0000 1
# total energy = -4.39 eV/atom
# formation enthalpy at 0 K = -14.8 meV per atom
# N(E_F) = 24.1 states/eV per cell

=====

# GGA-PBE HoGa2CuNi, relaxed
data_HoGa2CuNi
_space_group_name_H-M_alt 'I -4 m 2'
_space_group_IT_number 119
_space_group_name_Hall 'I -4 -2'
_cell_length_a 4.118
_cell_length_b 4.118
_cell_length_c 9.930
_cell_angle_alpha 90.00
_cell_angle_beta 90.00
_cell_angle_gamma 90.00
loop_
_atom_site_label
_atom_site_type_symbol
_atom_site_fract_x
_atom_site_fract_y
_atom_site_fract_z
_atom_site_occupancy
Ho1 Ho 0.000 0.000 0.000 1
Ga1 Ga 0.000 0.000 0.374 1
Cu1 Cu 0.000 0.500 0.250 1
Ni1 Ni 0.000 0.500 0.750 1
# total energy = -4.57 eV/atom
# formation enthalpy at 0 K = -465.3 meV per atom
# N(E_F) = 8.3 states/eV per cell